The following is a PBE calculation of a geometry-optimized PuIr4 structure, from Alexandria.

Cell lengths 4.765, 4.765, 4.765 Å; angles 90.00, 90.00, 90.00 degrees
Space group Pm-3m (No. 221)
Asymmetric unit:
Pu: 0.000 0.000 0.000 (multiplicity 1)
Ir: 0.000 0.000 0.500 (multiplicity 3)
Ir: 0.500 0.500 0.500 (multiplicity 1)

Calculated values
Calculated total energy: -39.872 eV for the cell shown
Formation energy from the elements: 45.68 kcal/mol of atoms